[1]
Material: MnFeW2
Method: DFT, GGA-PBE
State: relaxed

Cell and atoms, written as POSCAR:
```
MnFeW2
1.0
2.978 0.000 0.000
0.000 2.978 0.000
0.000 0.000 6.146
Mn Fe W
1 1 2
Cartesian
0.000 0.000 0.000 Mn
0.000 0.000 3.073 Fe
1.489 1.489 1.528 W
1.489 1.489 4.618 W
```

## Properties
Formation enthalpy at 0 K: 15.80 kJ per mole of atoms
D(E_F): 1.09 states/eV per atom
Crystal system: tetragonal
VASP energy: -10.721 eV/atom



[2]
Material: MnFeW2
Method: DFT, GGA-PBE
State: relaxed

Cell and atoms, written as POSCAR:
```
MnFeW2
1.0
3.074 0.000 0.000
0.000 3.074 0.000
0.000 0.000 5.885
Mn Fe W
1 1 2
Cartesian
0.000 0.000 0.000 Mn
1.537 1.537 4.471 Fe
0.000 0.000 3.093 W
1.537 1.537 1.392 W
```

## Properties
Formation enthalpy at 0 K: 9.78 kJ per mole of atoms
D(E_F): 0.59 states/eV per atom
Crystal system: tetragonal
VASP energy: -10.783 eV/atom



[3]
Material: Mn2FeW
Method: DFT, GGA-PBE
State: relaxed

Cell and atoms, written as POSCAR:
```
Mn2FeW
1.0
2.980 0.000 0.000
0.000 2.980 0.000
0.000 0.000 5.669
Mn Fe W
2 1 1
Cartesian
0.000 0.000 0.000 Mn
1.490 1.490 1.366 Mn
1.490 1.490 4.289 Fe
0.000 0.000 2.845 W
```

## Properties
Formation enthalpy at 0 K: 9.29 kJ per mole of atoms
D(E_F): 0.88 states/eV per atom
Crystal system: tetragonal
VASP energy: -9.842 eV/atom



[4]
Material: MnFeW2
Method: DFT, GGA-PBE
State: relaxed

Cell and atoms, written as POSCAR:
```
MnFeW2
1.0
-1.528 2.134 4.253
1.528 -2.134 4.253
1.528 2.134 -4.253
Mn Fe W
1 1 2
Cartesian
0.000 0.000 0.000 Mn
0.000 2.134 2.160 Fe
1.528 0.000 2.103 W
0.000 0.000 4.279 W
```

## Properties
Formation enthalpy at 0 K: 15.50 kJ per mole of atoms
D(E_F): 0.89 states/eV per atom
Crystal system: orthorhombic
VASP energy: -10.724 eV/atom



[5]
Material: MnFeW2
Method: DFT, GGA-PBE
State: relaxed

Cell and atoms, written as POSCAR:
```
MnFeW2
1.0
2.663 0.000 0.000
0.000 4.146 0.000
-1.076 0.000 5.061
Mn Fe W
1 1 2
Cartesian
0.000 0.000 0.000 Mn
0.794 0.000 2.531 Fe
-0.136 2.073 3.801 W
1.723 2.073 1.260 W
```

## Properties
Formation enthalpy at 0 K: 13.80 kJ per mole of atoms
D(E_F): 0.80 states/eV per atom
Crystal system: monoclinic
VASP energy: -10.742 eV/atom



[6]
Material: MnFeW2
Method: DFT, GGA-PBE
State: relaxed

Cell and atoms, written as POSCAR:
```
MnFeW2
1.0
4.483 -1.353 0.000
4.483 1.353 0.000
-0.881 0.000 4.463
Mn Fe W
1 1 2
Cartesian
0.000 0.000 0.000 Mn
1.886 0.000 3.226 Fe
4.305 0.000 2.365 W
6.611 0.000 0.907 W
```

## Properties
Formation enthalpy at 0 K: 21.49 kJ per mole of atoms
D(E_F): 1.15 states/eV per atom
Crystal system: monoclinic
VASP energy: -10.662 eV/atom



[7]
Material: MnFeW2
Method: DFT, GGA-PBE
State: relaxed

Cell and atoms, written as POSCAR:
```
MnFeW2
1.0
2.697 0.000 0.000
0.000 2.697 0.000
0.000 0.000 7.572
Mn Fe W
1 1 2
Cartesian
0.000 0.000 0.000 Mn
0.000 0.000 3.786 Fe
1.348 1.348 1.986 W
1.348 1.348 5.586 W
```

## Properties
Formation enthalpy at 0 K: 19.32 kJ per mole of atoms
D(E_F): 0.96 states/eV per atom
Crystal system: tetragonal
VASP energy: -10.684 eV/atom



[8]
Material: Mn2FeW
Method: DFT, GGA-PBE
State: relaxed

Cell and atoms, written as POSCAR:
```
Mn2FeW
1.0
2.590 0.000 0.000
0.000 2.590 0.000
0.000 0.000 7.485
Mn Fe W
2 1 1
Cartesian
0.000 0.000 0.000 Mn
1.295 1.295 1.711 Mn
1.295 1.295 5.831 Fe
0.000 0.000 3.776 W
```

## Properties
Formation enthalpy at 0 K: 14.00 kJ per mole of atoms
D(E_F): 0.73 states/eV per atom
Crystal system: tetragonal
VASP energy: -9.794 eV/atom



[9]
Material: Mn2FeW
Method: DFT, GGA-PBE
State: relaxed

Cell and atoms, written as POSCAR:
```
Mn2FeW
1.0
2.637 -3.654 0.000
2.637 3.654 0.000
0.000 0.000 2.647
Mn Fe W
2 1 1
Cartesian
1.318 1.827 0.000 Mn
1.318 -1.827 0.000 Mn
0.000 0.000 1.323 Fe
2.637 0.000 1.323 W
```

## Properties
Formation enthalpy at 0 K: 20.39 kJ per mole of atoms
D(E_F): 1.20 states/eV per atom
Crystal system: orthorhombic
VASP energy: -9.727 eV/atom



[10]
Material: Mn2FeW
Method: DFT, GGA-PBE
State: relaxed

Cell and atoms, written as POSCAR:
```
Mn2FeW
1.0
-1.825 1.825 3.733
1.825 -1.825 3.733
1.825 1.825 -3.733
Mn Fe W
2 1 1
Cartesian
0.000 0.000 0.000 Mn
0.000 1.825 1.867 Mn
0.000 0.000 3.733 Fe
1.825 0.000 1.867 W
```

## Properties
Formation enthalpy at 0 K: 11.91 kJ per mole of atoms
D(E_F): 1.14 states/eV per atom
Crystal system: tetragonal
VASP energy: -9.815 eV/atom



[11]
Material: Mn12Fe5W3
Method: DFT, GGA-PBE
State: relaxed

Cell and atoms, written as POSCAR:
```
Mn12Fe5W3
1.0
-6.742 6.742 6.742
6.742 -6.742 6.742
6.742 6.742 -6.742
Mn Fe W
48 20 12
Cartesian
1.998 -0.266 0.984 Mn
8.115 4.355 -3.637 Mn
6.476 -0.984 1.998 Mn
10.379 -1.373 2.387 Mn
8.740 0.266 0.984 Mn
8.115 -2.387 3.637 Mn
0.984 1.998 -0.266 Mn
9.129 3.105 -1.373 Mn
4.355 3.637 -1.373 Mn
5.758 1.998 0.266 Mn
-0.266 0.984 1.998 Mn
3.637 -1.373 4.355 Mn
6.476 5.758 -1.998 Mn
3.637 1.373 2.387 Mn
5.758 -1.998 6.476 Mn
4.355 -3.637 8.115 Mn
2.387 3.637 1.373 Mn
7.726 4.744 0.266 Mn
1.998 6.476 -0.984 Mn
8.115 2.387 3.105 Mn
3.637 8.115 -2.387 Mn
6.476 0.984 4.744 Mn
1.373 2.387 3.637 Mn
1.998 0.266 5.758 Mn
4.744 6.476 0.984 Mn
5.369 4.355 3.105 Mn
0.266 5.758 1.998 Mn
3.105 -1.373 9.129 Mn
-1.373 4.355 3.637 Mn
4.744 0.266 7.726 Mn
-0.984 1.998 6.476 Mn
4.355 3.105 5.369 Mn
2.387 10.379 -1.373 Mn
0.984 8.740 0.266 Mn
3.105 5.369 4.355 Mn
0.266 0.984 8.740 Mn
3.105 8.115 2.387 Mn
7.008 5.758 4.744 Mn
0.984 4.744 6.476 Mn
2.387 3.105 8.115 Mn
-2.387 3.637 8.115 Mn
5.758 4.744 7.008 Mn
-1.373 9.129 3.105 Mn
-1.998 6.476 5.758 Mn
-3.637 8.115 4.355 Mn
0.266 7.726 4.744 Mn
-1.373 2.387 10.379 Mn
4.744 7.008 5.758 Mn
0.000 0.000 0.000 Fe
3.371 3.371 -3.371 Fe
3.371 -3.371 3.371 Fe
6.742 0.000 0.000 Fe
10.113 1.686 0.000 Fe
6.742 -3.371 5.057 Fe
5.057 6.742 -3.371 Fe
5.057 0.000 3.371 Fe
3.371 5.057 0.000 Fe
6.742 3.371 1.686 Fe
-3.371 3.371 3.371 Fe
0.000 6.742 0.000 Fe
0.000 0.000 6.742 Fe
3.371 3.371 3.371 Fe
0.000 3.371 5.057 Fe
3.371 1.686 6.742 Fe
1.686 6.742 3.371 Fe
1.686 0.000 10.113 Fe
0.000 10.113 1.686 Fe
-3.371 5.057 6.742 Fe
3.371 1.686 0.000 W
6.742 3.371 -1.686 W
1.686 0.000 3.371 W
8.428 0.000 3.371 W
0.000 3.371 1.686 W
3.371 -1.686 6.742 W
3.371 8.428 0.000 W
6.742 3.371 5.057 W
-1.686 6.742 3.371 W
5.057 6.742 3.371 W
0.000 3.371 8.428 W
3.371 5.057 6.742 W
```

## Properties
Formation enthalpy at 0 K: 101.34 kJ per mole of atoms
D(E_F): 1.26 states/eV per atom
Crystal system: cubic
VASP energy: -8.510 eV/atom



[12]
Material: Mn2FeW
Method: DFT, GGA-PBE
State: relaxed

Cell and atoms, written as POSCAR:
```
Mn2FeW
1.0
2.580 0.000 0.000
0.000 4.107 0.000
-0.736 0.000 4.762
Mn Fe W
2 1 1
Cartesian
0.439 0.000 1.256 Mn
1.404 0.000 3.507 Mn
-0.368 2.053 2.381 Fe
1.290 2.053 0.000 W
```

## Properties
Formation enthalpy at 0 K: 13.18 kJ per mole of atoms
D(E_F): 0.95 states/eV per atom
Crystal system: monoclinic
VASP energy: -9.802 eV/atom



[13]
Material: MnFeW2
Method: DFT, GGA-PBE
State: relaxed

Cell and atoms, written as POSCAR:
```
MnFeW2
1.0
1.381 0.798 8.634
-1.381 0.798 8.634
0.000 -1.595 8.634
Mn Fe W
1 1 2
Cartesian
0.000 0.000 0.000 Mn
0.000 0.000 12.951 Fe
0.000 0.000 6.416 W
0.000 0.000 19.485 W
```

## Properties
Formation enthalpy at 0 K: 35.10 kJ per mole of atoms
D(E_F): 1.07 states/eV per atom
Crystal system: trigonal
VASP energy: -10.521 eV/atom



[14]
Material: Mn2FeW
Method: DFT, GGA-PBE
State: relaxed

Cell and atoms, written as POSCAR:
```
Mn2FeW
1.0
0.000 2.924 2.924
2.924 0.000 2.924
2.924 2.924 0.000
Mn Fe W
2 1 1
Cartesian
0.000 0.000 0.000 Mn
1.462 1.462 1.462 Mn
2.924 2.924 2.924 Fe
4.386 4.386 4.386 W
```

## Properties
Formation enthalpy at 0 K: 7.33 kJ per mole of atoms
D(E_F): 1.07 states/eV per atom
Crystal system: cubic
VASP energy: -9.863 eV/atom



[15]
Material: MnFeW2
Method: DFT, GGA-PBE
State: relaxed

Cell and atoms, written as POSCAR:
```
MnFeW2
1.0
0.000 3.009 3.009
3.009 0.000 3.009
3.009 3.009 0.000
Mn Fe W
1 1 2
Cartesian
0.000 0.000 0.000 Mn
3.009 3.009 3.009 Fe
1.505 1.505 1.505 W
4.514 4.514 4.514 W
```

## Properties
Formation enthalpy at 0 K: 15.59 kJ per mole of atoms
D(E_F): 0.88 states/eV per atom
Crystal system: cubic
VASP energy: -10.723 eV/atom



[16]
Material: MnFeW2
Method: DFT, GGA-PBE
State: relaxed

Cell and atoms, written as POSCAR:
```
MnFeW2
1.0
2.646 0.000 0.000
0.000 2.646 0.000
0.000 0.000 7.789
Mn Fe W
1 1 2
Cartesian
0.000 0.000 0.000 Mn
1.323 1.323 6.295 Fe
0.000 0.000 4.327 W
1.323 1.323 2.015 W
```

## Properties
Formation enthalpy at 0 K: 20.22 kJ per mole of atoms
D(E_F): 0.79 states/eV per atom
Crystal system: tetragonal
VASP energy: -10.675 eV/atom



[17]
Material: MnFeW
Method: DFT, GGA-PBE
State: relaxed

Cell and atoms, written as POSCAR:
```
MnFeW
1.0
-1.510 1.510 4.296
1.510 -1.510 4.296
1.510 1.510 -4.296
Mn Fe W
1 1 1
Cartesian
0.000 0.000 0.000 Mn
0.000 0.000 2.903 Fe
0.000 0.000 5.757 W
```

## Properties
Formation enthalpy at 0 K: 7.32 kJ per mole of atoms
D(E_F): 0.65 states/eV per atom
Crystal system: tetragonal
VASP energy: -10.119 eV/atom



[18]
Material: MnFeW
Method: DFT, GGA-PBE
State: relaxed

Cell and atoms, written as POSCAR:
```
MnFeW
1.0
0.000 2.118 6.085
1.543 0.000 6.085
1.543 2.118 0.000
Mn Fe W
1 1 1
Cartesian
0.000 0.000 0.000 Mn
1.543 2.118 7.996 Fe
1.543 2.118 4.001 W
```

## Properties
Formation enthalpy at 0 K: 16.77 kJ per mole of atoms
D(E_F): 0.76 states/eV per atom
Crystal system: orthorhombic
VASP energy: -10.021 eV/atom



[19]
Material: MnFe3W
Method: DFT, GGA-PBE
State: relaxed

Cell and atoms, written as POSCAR:
```
MnFe3W
1.0
4.121 0.000 0.000
0.000 4.121 0.000
0.000 0.000 4.121
Mn Fe W
1 3 1
Cartesian
0.000 0.000 0.000 Mn
0.000 0.000 2.060 Fe
0.000 2.060 0.000 Fe
2.060 0.000 0.000 Fe
2.060 2.060 2.060 W
```

## Properties
Formation enthalpy at 0 K: 127.24 kJ per mole of atoms
D(E_F): 1.67 states/eV per atom
Crystal system: cubic
VASP energy: -8.183 eV/atom



[20]
Material: Mn2FeW
Method: DFT, GGA-PBE
State: relaxed

Cell and atoms, written as POSCAR:
```
Mn2FeW
1.0
2.620 0.000 0.000
0.000 3.459 0.000
0.000 0.000 5.355
Mn Fe W
2 1 1
Cartesian
0.000 0.000 1.141 Mn
0.000 0.000 4.214 Mn
1.310 1.730 0.000 Fe
1.310 1.730 2.678 W
```

## Properties
Formation enthalpy at 0 K: 18.98 kJ per mole of atoms
D(E_F): 1.20 states/eV per atom
Crystal system: orthorhombic
VASP energy: -9.742 eV/atom



[21]
Material: MnFeW3
Method: DFT, GGA-PBE
State: relaxed

Cell and atoms, written as POSCAR:
```
MnFeW3
1.0
4.404 0.000 0.000
0.000 4.404 0.000
0.000 0.000 4.404
Mn Fe W
1 1 3
Cartesian
0.000 0.000 0.000 Mn
2.202 2.202 2.202 Fe
0.000 2.202 2.202 W
2.202 0.000 2.202 W
2.202 2.202 0.000 W
```

## Properties
Formation enthalpy at 0 K: 157.10 kJ per mole of atoms
D(E_F): 1.64 states/eV per atom
Crystal system: cubic
VASP energy: -9.670 eV/atom



[22]
Material: MnFe4W
Method: DFT, GGA-PBE
State: relaxed

Cell and atoms, written as POSCAR:
```
MnFe4W
1.0
0.000 3.319 3.319
3.319 0.000 3.319
3.319 3.319 0.000
Mn Fe W
1 4 1
Cartesian
0.000 0.000 0.000 Mn
2.487 2.487 2.487 Fe
4.151 4.151 2.487 Fe
4.151 2.487 4.151 Fe
2.487 4.151 4.151 Fe
4.978 4.978 4.978 W
```

## Properties
Formation enthalpy at 0 K: 3.45 kJ per mole of atoms
D(E_F): 1.20 states/eV per atom
Crystal system: cubic
VASP energy: -9.293 eV/atom



[23]
Material: YMnFeW2
Method: DFT, GGA-PBE
State: relaxed

Cell and atoms, written as POSCAR:
```
YMnFeW2
1.0
4.557 0.000 0.000
0.000 4.557 0.000
0.000 0.000 4.356
Y Mn Fe W
1 1 1 2
Cartesian
0.000 0.000 0.000 Y
2.278 2.278 2.178 Mn
2.278 2.278 0.000 Fe
0.000 2.278 2.178 W
2.278 0.000 2.178 W
```

## Properties
Formation enthalpy at 0 K: 90.23 kJ per mole of atoms
D(E_F): 1.35 states/eV per atom
Crystal system: tetragonal
VASP energy: -9.065 eV/atom



[24]
Material: MnZnFeW
Method: DFT, GGA-PBE
State: relaxed

Cell and atoms, written as POSCAR:
```
MnZnFeW
1.0
0.000 2.936 2.936
2.936 0.000 2.936
2.936 2.936 0.000
Mn Zn Fe W
1 1 1 1
Cartesian
0.000 0.000 0.000 Mn
1.468 1.468 1.468 Zn
2.936 2.936 2.936 Fe
4.404 4.404 4.404 W
```

## Properties
Formation enthalpy at 0 K: 9.32 kJ per mole of atoms
D(E_F): 0.95 states/eV per atom
Crystal system: cubic
VASP energy: -7.868 eV/atom



[25]
Material: Y2MnFe
Method: DFT, GGA-PBE
State: relaxed

Cell and atoms, written as POSCAR:
```
Y2MnFe
1.0
3.397 0.000 0.000
0.000 3.397 0.000
0.000 0.000 7.683
Y Mn Fe
2 1 1
Cartesian
0.000 0.000 0.000 Y
1.699 1.699 2.965 Y
1.699 1.699 5.825 Mn
0.000 0.000 4.793 Fe
```

## Properties
Formation enthalpy at 0 K: 17.04 kJ per mole of atoms
D(E_F): 0.77 states/eV per atom
Crystal system: tetragonal
VASP energy: -7.463 eV/atom